Record 1
DFT (PBE) results for a relaxed Ac2Nd13 crystal.

Summary:
Its space group is R-3m. As for the calculated volume: 621 Å³/cell. For the energy relative to the elements, the calculation gives 544 meV/atom. As for the magnetization: 0.00 μB/f.u.

Cell: 9.699 9.699 9.461 Å, 59.17 59.17 60.00°
Positions (direct):
1 Nd 0.748 0.401 0.104
2 Nd 0.748 0.748 0.104
3 Nd 0.252 0.252 0.896
4 Nd 0.978 0.978 0.721
5 Nd 0.022 0.022 0.279
6 Nd 0.022 0.677 0.279
7 Nd 0.401 0.748 0.104
8 Nd 0.500 0.500 0.500
9 Nd 0.252 0.599 0.896
10 Nd 0.677 0.022 0.279
11 Nd 0.323 0.978 0.721
12 Nd 0.599 0.252 0.896
13 Nd 0.978 0.323 0.721
14 Ac 0.234 0.234 0.299
15 Ac 0.766 0.766 0.701

---

Record 2
DFT (PBE) results for a relaxed Rh2PbW crystal.

Summary:
Its space group is Imm2. As for the calculated volume: 68 Å³/cell. For the energy relative to the elements, the calculation gives 383 meV/atom. As for the magnetization: 0.00 μB/f.u.

Cell: 5.598 5.598 5.598 Å, 149.40 129.34 60.35°
Positions (direct):
1 W 0.489 0.489 0.000
2 Pb 0.751 0.251 0.500
3 Rh 0.261 0.761 0.500
4 Rh 0.999 0.999 0.000

---

Record 3
DFT (PBE) results for a relaxed CaTlHAu crystal.

Summary:
Its space group is Pm. As for the calculated volume: 94 Å³/cell. The calculation puts the energy at -2.996 eV per atom. As for the magnetization: 0.00 μB/f.u.

Cell: 4.959 3.612 5.307 Å, 90.00 99.92 90.00°
Positions (direct):
1 Au 0.397 0.500 0.253
2 H 0.729 0.500 0.438
3 Tl 0.188 0.500 0.727
4 Ca 0.882 0.000 0.201

---

Record 4
DFT (PBE) results for a relaxed Li3Er2ZrS6 crystal.

Summary:
Its space group is C2/m. As for the energy relative to the elements, uncorrected: -1.72 eV per atom. As for the calculated volume: 230 Å³/cell. As for the magnetization: 0.00 μB/f.u.

Cell: 6.559 6.559 6.559 Å, 99.61 99.61 119.98°
Positions (direct):
1 Zr 0.000 0.000 0.000
2 S 0.408 0.084 0.251
3 S 0.916 0.592 0.749
4 S 0.592 0.916 0.749
5 S 0.241 0.241 0.751
6 S 0.759 0.759 0.249
7 S 0.084 0.408 0.251
8 Li 0.165 0.835 0.500
9 Li 0.500 0.500 0.500
10 Li 0.835 0.165 0.500
11 Er 0.333 0.667 0.000
12 Er 0.667 0.333 0.000

---

Record 5
DFT (PBE) results for a relaxed TbPm4Tm crystal.

Summary:
Its space group is Imma. As for the calculated volume: 402 Å³/cell. For the energy relative to the elements, the calculation gives 67 meV/atom. As for the magnetization: 0.00 μB/f.u.

Cell: 6.144 5.807 12.029 Å, 103.96 104.80 90.00°
Positions (direct):
1 Tb 0.500 0.500 0.500
2 Tb 0.000 0.000 0.500
3 Pm 0.403 0.331 0.161
4 Pm 0.358 0.912 0.325
5 Pm 0.642 0.088 0.675
6 Pm 0.033 0.588 0.675
7 Pm 0.597 0.669 0.839
8 Pm 0.759 0.831 0.161
9 Pm 0.967 0.412 0.325
10 Pm 0.241 0.169 0.839
11 Tm 0.828 0.250 0.000
12 Tm 0.172 0.750 0.000

---

Record 6
DFT (PBE) results for a relaxed TcP3W crystal.

Summary:
Its space group is Pm-3m. As for the calculated volume: 102 Å³/cell. For the energy relative to the elements, the calculation gives 1101 meV/atom. As for the magnetization: 3.33 μB/f.u.

Cell: 4.674 4.674 4.674 Å, 90.00 90.00 90.00°
Site moments in Bohr magnetons follow the coordinates.
Positions (direct):
1 W 0.000 0.000 0.000  0.28
2 P 0.500 0.000 0.000  -0.10
3 P 0.000 0.500 0.000  -0.16
4 P 0.000 0.000 0.500  -0.10
5 Tc 0.500 0.500 0.500  3.18

---

Record 7
DFT (PBE) results for a relaxed LiMg2Ir crystal.

Summary:
Its space group is I-4m2. As for the calculated volume: 64 Å³/cell. For the energy relative to the elements, the calculation gives -213 meV/atom. As for the magnetization: 0.00 μB/f.u.

Cell: 4.908 4.908 4.908 Å, 131.94 131.94 70.33°
Positions (direct):
1 Li 0.750 0.250 0.500
2 Mg 0.250 0.750 0.500
3 Mg 0.000 0.000 0.000
4 Ir 0.500 0.500 0.000

---

Record 8
DFT (PBE) results for a relaxed U6Tc3Os crystal.

Summary:
Its space group is P2_1/c. As for the calculated volume: 390 Å³/cell. For the energy relative to the elements, the calculation gives 4 meV/atom. As for the magnetization: 0.00 μB/f.u.

Cell: 5.286 7.871 9.372 Å, 90.00 90.00 90.00°
Positions (direct):
1 U 0.947 0.645 0.933
2 U 0.553 0.145 0.567
3 U 0.340 0.693 0.750
4 U 0.053 0.355 0.067
5 U 0.660 0.307 0.250
6 U 0.447 0.855 0.433
7 U 0.840 0.807 0.250
8 U 0.451 0.852 0.068
9 U 0.049 0.352 0.432
10 U 0.160 0.193 0.750
11 U 0.549 0.148 0.932
12 U 0.951 0.648 0.568
13 Tc 0.766 0.406 0.749
14 Tc 0.234 0.594 0.251
15 Tc 0.734 0.906 0.751
16 Tc 0.500 0.500 0.000
17 Tc 0.266 0.094 0.249
18 Tc 0.000 0.000 0.500
19 Os 0.000 0.000 0.000
20 Os 0.500 0.500 0.500

---

Calculated density, record by record: 6.23; 14.47; 7.85; 4.61; 7.50; 6.09; 6.42; 16.29 g/cm³